Material: CaWN3
Method: DFT, PBEsol
State: relaxed

Values from the calculation:
* V: 144 Å³/cell
* space group: C2/m (12)
* formation energy (no corrections): -0.7670 eV/atom

abc: 7.446 7.446 5.750
angles: 105.91 105.91 28.04
Fractional coordinates of all 10 atoms:
Ca: 0.090 0.090 0.292
Ca: 0.910 0.910 0.708
W: 0.343 0.343 0.125
W: 0.657 0.657 0.875
N: 0.192 0.192 0.024
N: 0.371 0.371 0.448
N: 0.465 0.465 0.052
N: 0.535 0.535 0.948
N: 0.629 0.629 0.552
N: 0.808 0.808 0.976